Entry 1:
# PBE Nd2Tl3VSe6, relaxed
# - DOS(E_F): 7.59 states/eV/f.u.
# - E_tot: -4.9382 eV per atom
# - Crystal system: monoclinic
# - ΔE_f (raw): -1050 meV per atom
# - Total moment: 2.012 μB per formula unit
data_Nd2Tl3VSe6
_chemical_formula_sum 'Nd2 Tl3 V1 Se6'
_space_group_name_H-M_alt 'P 1'
_space_group_IT_number 1
_cell_length_a 7.1763
_cell_length_b 7.1763
_cell_length_c 8.0781
_cell_angle_alpha 98.61
_cell_angle_beta 98.61
_cell_angle_gamma 119.76
loop_
_space_group_symop_operation_xyz
'x,y,z'
loop_
_atom_site_label
_atom_site_fract_x
_atom_site_fract_y
_atom_site_fract_z
_atom_site_occupancy
Nd1 0.1658 0.8342 0.0000 1
Nd2 0.8342 0.1658 0.0000 1
Tl1 0.0000 0.0000 0.5000 1
Tl2 0.3260 0.6740 0.5000 1
Tl3 0.6740 0.3260 0.5000 1
V1 0.5000 0.5000 0.0000 1
Se1 0.1327 0.4331 0.8005 1
Se2 0.2666 0.2666 0.2096 1
Se3 0.4331 0.1327 0.8005 1
Se4 0.5669 0.8673 0.1995 1
Se5 0.7334 0.7334 0.7904 1
Se6 0.8673 0.5669 0.1995 1

---

Entry 2:
# PBE NdY3Tl4Se8, relaxed
# - E_tot: -5.2399 eV per atom
# - Crystal system: monoclinic
# - ΔE_f (raw): -1396 meV per atom
# - Total moment: 0.000 μB per formula unit
data_NdY3Tl4Se8
_chemical_formula_sum 'Nd1 Y3 Tl4 Se8'
_space_group_name_H-M_alt 'P 1'
_space_group_IT_number 1
_cell_length_a 8.4467
_cell_length_b 8.4467
_cell_length_c 9.1780
_cell_angle_alpha 117.40
_cell_angle_beta 117.40
_cell_angle_gamma 60.00
loop_
_space_group_symop_operation_xyz
'x,y,z'
loop_
_atom_site_label
_atom_site_fract_x
_atom_site_fract_y
_atom_site_fract_z
_atom_site_occupancy
Nd1 0.0000 0.0000 0.0000 1
Y1 0.0000 0.5000 0.0000 1
Y2 0.5000 0.0000 0.0000 1
Y3 0.5000 0.5000 0.0000 1
Tl1 0.0000 0.0000 0.5000 1
Tl2 0.0000 0.5000 0.5000 1
Tl3 0.5000 0.0000 0.5000 1
Tl4 0.5000 0.5000 0.5000 1
Se1 0.2395 0.7296 0.2072 1
Se2 0.2399 0.2399 0.2068 1
Se3 0.2652 0.2652 0.7961 1
Se4 0.2704 0.7605 0.7928 1
Se5 0.7296 0.2395 0.2072 1
Se6 0.7348 0.7348 0.2039 1
Se7 0.7601 0.7601 0.7932 1
Se8 0.7605 0.2704 0.7928 1

---

Entry 3:
# PBE NdYTl2Se4, relaxed
# - E_tot: -5.1221 eV per atom
# - Crystal system: monoclinic
# - ΔE_f (raw): -1384 meV per atom
# - Total moment: 0.000 μB per formula unit
data_NdYTl2Se4
_chemical_formula_sum 'Nd1 Y1 Tl2 Se4'
_space_group_name_H-M_alt 'P 1'
_space_group_IT_number 1
_cell_length_a 7.3781
_cell_length_b 4.2595
_cell_length_c 8.1402
_cell_angle_alpha 90.00
_cell_angle_beta 107.56
_cell_angle_gamma 90.00
loop_
_space_group_symop_operation_xyz
'x,y,z'
loop_
_atom_site_label
_atom_site_fract_x
_atom_site_fract_y
_atom_site_fract_z
_atom_site_occupancy
Nd1 0.0000 0.0000 0.0000 1
Y1 0.5000 0.5000 0.0000 1
Tl1 0.0000 0.5000 0.5000 1
Tl2 0.5000 0.0000 0.5000 1
Se1 0.2434 0.5000 0.2094 1
Se2 0.2715 0.0000 0.7938 1
Se3 0.7285 0.0000 0.2062 1
Se4 0.7566 0.5000 0.7906 1

---

Entry 4:
# PBE Nd3ZrTl4Se8, relaxed
# - DOS(E_F): 5.06 states/eV/f.u.
# - E_tot: -5.0112 eV per atom
# - Crystal system: trigonal
# - ΔE_f (raw): -1249 meV per atom
# - Total moment: 0.001 μB per formula unit
data_Nd3ZrTl4Se8
_chemical_formula_sum 'Nd3 Zr1 Tl4 Se8'
_space_group_name_H-M_alt 'P 1'
_space_group_IT_number 1
_cell_length_a 9.1995
_cell_length_b 9.1995
_cell_length_c 9.1995
_cell_angle_alpha 54.41
_cell_angle_beta 54.41
_cell_angle_gamma 54.41
loop_
_space_group_symop_operation_xyz
'x,y,z'
loop_
_atom_site_label
_atom_site_fract_x
_atom_site_fract_y
_atom_site_fract_z
_atom_site_occupancy
Nd1 0.0000 0.5000 0.5000 1
Nd2 0.5000 0.0000 0.5000 1
Nd3 0.5000 0.5000 0.0000 1
Zr1 0.0000 0.0000 0.0000 1
Tl1 0.0000 0.0000 0.5000 1
Tl2 0.0000 0.5000 0.0000 1
Tl3 0.5000 0.0000 0.0000 1
Tl4 0.5000 0.5000 0.5000 1
Se1 0.2250 0.2250 0.7572 1
Se2 0.2250 0.7572 0.2250 1
Se3 0.2428 0.7750 0.7750 1
Se4 0.2611 0.2611 0.2611 1
Se5 0.7389 0.7389 0.7389 1
Se6 0.7572 0.2250 0.2250 1
Se7 0.7750 0.2428 0.7750 1
Se8 0.7750 0.7750 0.2428 1